# 1
DFT (GGA-PBE) results for ScBS2 after structural relaxation.

Results
magnetic moment	0.00	μB/atom
V	16.0	Å³ per atom
energy relative to the elements, uncorrected	-177.5	kJ/mol of formula units

a = 5.563 Å, b = 5.563 Å, c = 8.282 Å
α = 90.00°, β = 90.00°, γ = 90.00°
Space group I-42d (No. 122)
Asymmetric unit:
Sc: 0.000 0.000 0.000
B: 0.000 0.000 0.500
S: 0.159 0.250 0.625

---

# 2
DFT (GGA-PBE) results for ScBS after structural relaxation.

Results
magnetic moment	0.00	μB/atom
V	17.4	Å³ per atom
energy relative to the elements, uncorrected	-246.4	kJ/mol of formula units

a = 4.855 Å, b = 5.163 Å, c = 8.440 Å
α = 90.00°, β = 99.88°, γ = 90.00°
Space group C2/m (No. 12)
Asymmetric unit:
Sc: 0.165 0.000 0.169
B: 0.150 0.500 0.063
S: 0.196 0.500 0.290